Density functional theory data (GGA-PBE) for an optimized crystal structure of HoEr2Pd.

**Excess energy over the best structure of this formula in the dataset**: 21 meV per atom
**Energy relative to the elements**: -467 meV/atom

Unit cell a=3.7366 b=6.3810 c=9.2463 alpha=90.00 beta=90.00 gamma=107.05
Element x y z (fractional)
Ho 0.9379 0.8765 0.2500
Ho 0.0621 0.1235 0.7500
Er 0.3644 0.7296 0.5599
Er 0.6356 0.2704 0.4401
Er 0.3644 0.7296 0.9401
Er 0.6356 0.2704 0.0599
Pd 0.7597 0.5204 0.7500
Pd 0.2403 0.4796 0.2500


Density functional theory data (GGA-PBE) for an optimized crystal structure of PmTlIrRh.

**Energy relative to the elements**: -287 meV/atom

Unit cell a=4.8195 b=4.8195 c=4.8195 alpha=60.00 beta=60.00 gamma=60.00
Element x y z (fractional)
Tl 0.7500 0.7500 0.7500
Ir 0.0000 0.0000 0.0000
Rh 0.5000 0.5000 0.5000
Pm 0.2500 0.2500 0.2500


Among the records above, which one has the highest energy relative to the elements? PmTlIrRh


Look up the energy relative to the elements of the first one. -467 meV/atom